Run i
# Na3In2Te4 | the Alexandria database | PBE | optimized geometry
data_Na3In2Te4
_symmetry_space_group_name_H-M 'P 1'
_symmetry_Int_Tables_number 1
_symmetry_space_group_name_Hall 'P 1'
_cell_length_a 4.968
_cell_length_b 7.935
_cell_length_c 11.717
_cell_angle_alpha 129.06
_cell_angle_beta 90.00
_cell_angle_gamma 108.24
loop_
_atom_site_label
_atom_site_fract_x
_atom_site_fract_y
_atom_site_fract_z
_atom_site_occupancy
Na1 0.355 0.710 0.200 1
Te1 0.080 0.160 0.348 1
Na2 0.000 0.000 0.000 1
Te2 0.693 0.386 0.112 1
Te3 0.307 0.614 0.888 1
In1 0.683 0.366 0.341 1
In2 0.317 0.634 0.659 1
Te4 0.920 0.840 0.652 1
Na3 0.645 0.290 0.800 1
# Fermi-level density of states = 2.51 states/eV/cell
# SG = No. 12

***

Run ii
# Na3In2Te4 | the Alexandria database | PBE | optimized geometry
data_Na3In2Te4
_symmetry_space_group_name_H-M 'P 1'
_symmetry_Int_Tables_number 1
_symmetry_space_group_name_Hall 'P 1'
_cell_length_a 8.839
_cell_length_b 8.079
_cell_length_c 9.808
_cell_angle_alpha 114.32
_cell_angle_beta 88.30
_cell_angle_gamma 90.00
loop_
_atom_site_label
_atom_site_fract_x
_atom_site_fract_y
_atom_site_fract_z
_atom_site_occupancy
In1 0.485 0.439 0.627 1
Na1 0.250 0.490 0.000 1
Te1 0.501 0.277 0.092 1
Te2 0.001 0.815 0.092 1
Na2 0.700 0.951 0.779 1
Na3 0.200 0.829 0.779 1
Te3 0.326 0.878 0.475 1
Na4 0.750 0.510 0.000 1
Te4 0.674 0.122 0.525 1
Te5 0.174 0.403 0.525 1
Na5 0.800 0.171 0.221 1
Na6 0.300 0.049 0.221 1
Te6 0.826 0.597 0.475 1
In2 0.015 0.812 0.373 1
Te7 0.499 0.723 0.908 1
Te8 0.999 0.185 0.908 1
In3 0.985 0.188 0.627 1
In4 0.515 0.561 0.373 1
# Fermi-level density of states = 6.75 states/eV/cell
# SG = No. 15

***

Most stable: run i. Least stable: run ii.

***

Run i
# Na3InTe | the Alexandria database | PBE | optimized geometry
data_Na3InTe
_symmetry_space_group_name_H-M 'P 1'
_symmetry_Int_Tables_number 1
_symmetry_space_group_name_Hall 'P 1'
_cell_length_a 5.735
_cell_length_b 5.735
_cell_length_c 5.735
_cell_angle_alpha 90.00
_cell_angle_beta 90.00
_cell_angle_gamma 90.00
loop_
_atom_site_label
_atom_site_fract_x
_atom_site_fract_y
_atom_site_fract_z
_atom_site_occupancy
In1 0.000 0.000 0.000 1
Na1 0.500 0.000 0.000 1
Na2 0.000 0.000 0.500 1
Na3 0.000 0.500 0.000 1
Te1 0.500 0.500 0.500 1
# Fermi-level density of states = 5.50 states/eV/cell
# SG = No. 221

***

Run ii
# Na3InTe | the Alexandria database | PBE | optimized geometry
data_Na3InTe
_symmetry_space_group_name_H-M 'P 1'
_symmetry_Int_Tables_number 1
_symmetry_space_group_name_Hall 'P 1'
_cell_length_a 5.877
_cell_length_b 5.877
_cell_length_c 5.877
_cell_angle_alpha 90.00
_cell_angle_beta 90.00
_cell_angle_gamma 90.00
loop_
_atom_site_label
_atom_site_fract_x
_atom_site_fract_y
_atom_site_fract_z
_atom_site_occupancy
In1 0.500 0.500 0.500 1
Te1 0.000 0.000 0.000 1
Na1 0.500 0.000 0.000 1
Na2 0.000 0.500 0.000 1
Na3 0.000 0.000 0.500 1
# Fermi-level density of states = 3.98 states/eV/cell
# SG = No. 221

***

Most stable: run ii. Least stable: run i.

***

Run i
# Na2In2Te | the Alexandria database | PBE | optimized geometry
data_Na2In2Te
_symmetry_space_group_name_H-M 'P 1'
_symmetry_Int_Tables_number 1
_symmetry_space_group_name_Hall 'P 1'
_cell_length_a 8.069
_cell_length_b 8.069
_cell_length_c 4.758
_cell_angle_alpha 90.00
_cell_angle_beta 90.00
_cell_angle_gamma 90.00
loop_
_atom_site_label
_atom_site_fract_x
_atom_site_fract_y
_atom_site_fract_z
_atom_site_occupancy
In1 0.132 0.368 0.000 1
Na1 0.829 0.329 0.500 1
In2 0.632 0.132 0.000 1
Te1 0.000 0.000 0.000 1
Na2 0.171 0.671 0.500 1
Te2 0.500 0.500 0.000 1
In3 0.868 0.632 0.000 1
Na3 0.671 0.829 0.500 1
In4 0.368 0.868 0.000 1
Na4 0.329 0.171 0.500 1
# Fermi-level density of states = 5.41 states/eV/cell
# SG = No. 127

***

Run ii
# Na2In2Te | the Alexandria database | PBE | optimized geometry
data_Na2In2Te
_symmetry_space_group_name_H-M 'P 1'
_symmetry_Int_Tables_number 1
_symmetry_space_group_name_Hall 'P 1'
_cell_length_a 4.578
_cell_length_b 4.578
_cell_length_c 8.028
_cell_angle_alpha 73.43
_cell_angle_beta 73.43
_cell_angle_gamma 90.00
loop_
_atom_site_label
_atom_site_fract_x
_atom_site_fract_y
_atom_site_fract_z
_atom_site_occupancy
Te1 0.000 0.000 0.000 1
In1 0.593 0.593 0.813 1
Na1 0.750 0.250 0.500 1
Na2 0.250 0.750 0.500 1
In2 0.407 0.407 0.187 1
# Fermi-level density of states = 1.03 states/eV/cell
# SG = No. 139

***

Most stable: run i. Least stable: run ii.